[1]
A plane-wave DFT calculation with GGA-PBE was carried out for crystalline CeGeSb at its relaxed geometry.

Properties
calculated volume: 78.34 Å³ per cell
raw total energy: -5.369 eV per atom
total magnetization: 0.86 μB per formula unit
formation energy from raw total energies: -477 meV per atom
crystal system: trigonal

Lattice parameters (Å, degrees): 3.989 4.762 4.762 120.00 90.00 90.00
Last column: magnetic moment on the atom in μB.
Sites, in units of the cell vectors:
Sb (0.835, 0.000, 0.000)  0.00
Ge (0.831, 0.333, 0.667)  0.00
Ce (0.334, 0.667, 0.333)  0.74


[2]
A plane-wave DFT calculation with GGA-PBE was carried out for crystalline Cs2In2Ir at its relaxed geometry.

Properties
calculated volume: 395.94 Å³ per cell
raw total energy: -2.183 eV per atom
distance to the lowest polymorph of the same formula: 344.3 meV per atom
formation enthalpy at 0 K: 98.95 kJ/mol of atoms
total magnetization: 0.00 μB per formula unit
crystal system: tetragonal

Lattice parameters (Å, degrees): 7.895 7.895 6.352 90.00 90.00 90.00
Sites, in units of the cell vectors:
Cs (0.338, 0.838, 0.000)
Cs (0.838, 0.662, 0.000)
Cs (0.662, 0.162, 0.000)
Cs (0.162, 0.338, 0.000)
Ir (0.000, 0.000, 0.000)
Ir (0.500, 0.500, 0.000)
In (0.167, 0.667, 0.500)
In (0.667, 0.833, 0.500)
In (0.833, 0.333, 0.500)
In (0.333, 0.167, 0.500)


[3]
A plane-wave DFT calculation with GGA-PBE was carried out for crystalline LiSnB at its relaxed geometry.

Properties
calculated volume: 98.61 Å³ per cell
raw total energy: -3.720 eV per atom
distance to the lowest polymorph of the same formula: 568.2 meV per atom
formation enthalpy at 0 K: 46.14 kJ/mol of atoms
total magnetization: 0.00 μB per formula unit
crystal system: orthorhombic

Lattice parameters (Å, degrees): 6.134 6.134 4.525 90.00 90.00 144.60
Sites, in units of the cell vectors:
B (0.235, 0.765, 0.250)
B (0.765, 0.235, 0.750)
Sn (0.864, 0.136, 0.250)
Sn (0.136, 0.864, 0.750)
Li (0.605, 0.395, 0.250)
Li (0.395, 0.605, 0.750)